1.
This record from Alexandria via LeMat-Bulk describes an optimized crystal structure of Sc2CrInBr. The functional is PBE.

Computed properties:
Its raw formation energy is 0.3112 eV/atom. Its final energy is -5.0284 eV per atom.

The structure in CIF format:
```
data_Sc2CrInBr
_chemical_formula_sum 'Sc2 Cr1 In1 Br1'
_space_group_name_H-M_alt 'P 4/m m m'
_space_group_IT_number 123
_space_group_name_Hall '-P 4 2'
_cell_length_a 4.9960
_cell_length_b 4.9960
_cell_length_c 4.4055
_cell_angle_alpha 90.00
_cell_angle_beta 90.00
_cell_angle_gamma 90.00
loop_
_atom_site_label
_atom_site_type_symbol
_atom_site_fract_x
_atom_site_fract_y
_atom_site_fract_z
Sc1 Sc 0.0000 0.5000 0.0000
Cr1 Cr 0.0000 0.0000 0.5000
In1 In 0.5000 0.5000 0.5000
Br1 Br 0.0000 0.0000 0.0000
```


2.
This record from Alexandria via LeMat-Bulk describes an optimized crystal structure of SrYCr3. The functional is PBE.

Computed properties:
Its final energy is -5.9927 eV per atom. The value obtained for the energy above the most stable polymorph in this dataset is 0 kJ/mol of formula units.

The structure in CIF format:
```
data_SrYCr3
_chemical_formula_sum 'Sr1 Y1 Cr3'
_space_group_name_H-M_alt 'P m -3 m'
_space_group_IT_number 221
_space_group_name_Hall '-P 4 2 3'
_cell_length_a 5.1933
_cell_length_b 5.1933
_cell_length_c 5.1933
_cell_angle_alpha 90.00
_cell_angle_beta 90.00
_cell_angle_gamma 90.00
loop_
_atom_site_label
_atom_site_type_symbol
_atom_site_fract_x
_atom_site_fract_y
_atom_site_fract_z
Sr1 Sr 0.0000 0.0000 0.0000
Y1 Y 0.5000 0.5000 0.5000
Cr1 Cr 0.0000 0.5000 0.5000
```


3.
This record from Alexandria via LeMat-Bulk describes an optimized crystal structure of La3PrNd3. The functional is PBE.

Computed properties:
Its final energy is -4.7228 eV per atom. The value obtained for the energy above the most stable polymorph in this dataset is 55 kJ/mol of formula units.

The structure in CIF format:
```
data_La3PrNd3
_chemical_formula_sum 'La18 Pr6 Nd18'
_space_group_name_H-M_alt 'R -3'
_space_group_IT_number 148
_space_group_name_Hall '-R 3'
_cell_length_a 9.6871
_cell_length_b 9.6871
_cell_length_c 19.2138
_cell_angle_alpha 90.00
_cell_angle_beta 90.00
_cell_angle_gamma 120.00
loop_
_atom_site_label
_atom_site_type_symbol
_atom_site_fract_x
_atom_site_fract_y
_atom_site_fract_z
La1 La 0.0477 0.8084 0.0771
Pr1 Pr 0.0000 0.0000 0.4094
Nd1 Nd 0.0485 0.8121 0.2587
```


4.
This record from Alexandria via LeMat-Bulk describes an optimized crystal structure of Sm2Dy3Ho7. The functional is PBE.

Computed properties:
Its final energy is -4.4959 eV per atom. The value obtained for the energy above the most stable polymorph in this dataset is 37 kJ/mol of formula units.

The structure in CIF format:
```
data_Sm2Dy3Ho7
_chemical_formula_sum 'Sm4 Dy6 Ho14'
_space_group_name_H-M_alt 'C m m m'
_space_group_IT_number 65
_space_group_name_Hall '-C 2 2'
_cell_length_a 5.6680
_cell_length_b 37.6200
_cell_length_c 3.5894
_cell_angle_alpha 90.00
_cell_angle_beta 90.00
_cell_angle_gamma 90.00
loop_
_atom_site_label
_atom_site_type_symbol
_atom_site_fract_x
_atom_site_fract_y
_atom_site_fract_z
Sm1 Sm 0.0000 0.1472 0.0000
Dy1 Dy 0.0000 0.3145 0.5000
Dy2 Dy 0.0000 0.5000 0.5000
Ho1 Ho 0.0000 0.0000 0.0000
Ho2 Ho 0.0000 0.0712 0.5000
Ho3 Ho 0.0000 0.2306 0.0000
Ho4 Ho 0.0000 0.4098 0.0000
```